[1]
Computed, not measured: a relaxed SmScGa2Pd2 crystal at the PBE level of DFT.

abc: 4.471 4.471 6.711
angles: 90.00 90.00 120.00
Atoms (fractional coordinates):
Sm 0.000 0.000 0.000
Sc 0.000 0.000 0.500
Ga 0.333 0.667 0.287
Ga 0.667 0.333 0.713
Pd 0.333 0.667 0.713
Pd 0.667 0.333 0.287

## Properties
V, Å³/atom: 19.359
Total energy, eV per cell: -32.6
Space group: No. 164
Energy of formation from the pure elements, eV/atom: -0.853

***

[2]
Computed, not measured: a relaxed Sr4PtW crystal at the PBE level of DFT.

abc: 6.530 6.530 6.530
angles: 60.00 60.00 60.00
Atoms (fractional coordinates):
Sr 0.125 0.125 0.125
Sr 0.125 0.125 0.624
Sr 0.125 0.624 0.125
Sr 0.624 0.125 0.125
Pt 0.500 0.500 0.500
W 0.750 0.750 0.750

## Properties
V, Å³/atom: 32.822
Total energy, eV per cell: -17.7
Space group: No. 216
Energy of formation from the pure elements, eV/atom: 1.345

***

[3]
Computed, not measured: a relaxed CuRuPt2 crystal at the PBE level of DFT.

abc: 9.030 9.030 9.030
angles: 17.42 17.42 17.42
Atoms (fractional coordinates):
Cu 0.000 0.000 0.000
Ru 0.500 0.500 0.500
Pt 0.252 0.252 0.252
Pt 0.748 0.748 0.748

## Properties
Polymorph energy (0 for the lowest one), meV/atom: 0.0
V, Å³/atom: 14.401
Total energy, eV per cell: -25.6
Space group: No. 166
Energy of formation from the pure elements, eV/atom: -0.048

***

[4]
Computed, not measured: a relaxed K3As2Au2 crystal at the PBE level of DFT.

abc: 6.431 6.431 8.167
angles: 111.07 111.07 44.41
Atoms (fractional coordinates):
K 0.000 0.000 0.000
K 0.189 0.189 0.632
K 0.811 0.811 0.368
As 0.487 0.487 0.639
As 0.513 0.513 0.361
Au 0.311 0.311 0.084
Au 0.689 0.689 0.916

## Properties
V, Å³/atom: 31.112
Total energy, eV per cell: -21.5
Space group: No. 12
Energy of formation from the pure elements, eV/atom: -0.338

***

[5]
Computed, not measured: a relaxed CeSe5 crystal at the PBE level of DFT.

abc: 9.385 9.385 4.029
angles: 90.00 90.00 155.23
Atoms (fractional coordinates):
Ce 0.000 0.000 0.000
Se 0.141 0.859 0.500
Se 0.359 0.641 0.000
Se 0.500 0.500 0.500
Se 0.641 0.359 0.000
Se 0.859 0.141 0.500

## Properties
Formation energy without anion corrections, eV per atom: -0.628
V, Å³/atom: 24.784
Total energy, eV per cell: -27.1
Space group: No. 65

***

[6]
Computed, not measured: a relaxed NaPm2Au6 crystal at the PBE level of DFT.

abc: 8.592 8.592 8.592
angles: 154.69 127.23 59.40
Atoms (fractional coordinates):
Na 0.000 0.000 0.000
Pm 0.362 0.862 0.500
Pm 0.638 0.138 0.500
Au 0.012 0.322 0.689
Au 0.309 0.500 0.809
Au 0.367 0.678 0.689
Au 0.633 0.322 0.311
Au 0.691 0.500 0.191
Au 0.988 0.678 0.311

## Properties
V, Å³/atom: 23.840
Total energy, eV per cell: -35.4
Space group: No. 71
Energy of formation from the pure elements, eV/atom: -0.549